Below is BaSiW2 after structural relaxation, with properties calculated at the GGA-PBE level.

Cell lengths 6.6446, 6.6446, 6.6446 Å; angles 90.00, 90.00, 90.00 degrees
Space group Fm-3m (No. 225)
One atom of each set of equivalent atoms:
Ba (0.0000, 0.0000, 0.0000) x4
Si (0.0000, 0.0000, 0.5000) x4
W (0.2500, 0.2500, 0.2500) x8

## Properties
**Formation energy (no corrections)**: 1.458 eV/atom
**N(E_F)**: 6.1 states/eV per cell